Computed, not measured: a geometry-optimized CrTeAuF2 structure at the PBE with a Hubbard U level of DFT.

Lattice parameters (Å, degrees): 3.9570 3.9570 6.1391 90.00 90.00 90.00
With the nearest neighbours (Å) after each atom.
Positions (direct):
Au: 0.5000 0.5000 0.5000  4 Te 2.80
Cr: 0.0000 0.0000 0.0000  4 F 1.98
F: 0.5000 0.0000 0.0000  2 Cr 1.98
F: 0.0000 0.5000 0.0000  2 Cr 1.98
Te: 0.0000 0.0000 0.5000  4 Au 2.80, 2 Cr 3.07

Results
total magnetization = 3.5 μB per cell
DOS at the Fermi energy = 0.129 states/eV per atom
space group = P4/mmm
distance to the lowest polymorph of the same formula = 0.000 eV/atom